w | Zr5Mo: optimized geometry, PBEsol.

Cell lengths 3.360, 5.711, 7.213 Å; angles 108.70, 90.00, 107.11 degrees
Element x y z (fractional)
Zr: 0.966 0.933 0.441
Zr: 0.308 0.617 0.637
Zr: 0.620 0.240 0.795
Mo: 0.977 0.954 0.949
Zr: 0.324 0.647 0.088
Zr: 0.638 0.276 0.257

Magnetic moment, μB per atom: 0.000
Space-group type: Cm
Density of states at the Fermi level, states/eV per cell: 7.610

---

x | Zr5Mo: optimized geometry, PBEsol.

Cell lengths 3.305, 3.305, 11.417 Å; angles 90.00, 90.00, 90.00 degrees
Element x y z (fractional)
Zr: 0.000 0.000 0.639
Zr: 0.500 0.500 0.820
Mo: 0.500 0.500 0.500
Zr: 0.500 0.500 0.180
Zr: 0.000 0.000 0.000
Zr: 0.000 0.000 0.361

Magnetic moment, μB per atom: 0.000
Space-group type: P4/mmm
Density of states at the Fermi level, states/eV per cell: 9.712

---

Which is more stable than every other structure shown? w is more stable than every other one.